First-principles (PBE-GGA) data for a relaxed Pu3HfTl3Te8 crystal, as listed in Alexandria via LeMat-Bulk.

The space group is R-3m (No. 166, hexagonal axes) and the conventional cell measures 8.7926, 8.7926 and 24.7550 Å, with angles of 90.00, 90.00 and 120.00 degrees. The asymmetric unit holds Pu at (0.0000, 0.5000, 0.0000), Hf at (0.0000, 0.0000, 0.0000), Tl at (0.0000, 0.5000, 0.5000), Te at (0.0000, 0.0000, 0.2615) and Te at (0.0196, 0.5098, 0.7355).

The calculation puts the total energy at -6.458 eV/atom. The formation energy (no corrections) comes out at -11.68 eV/f.u. As for the size of the total moment: 1.000 μB per atom.



First-principles (PBE-GGA) data for a relaxed Pu2HfTl3Te6 crystal, as listed in Alexandria via LeMat-Bulk.

The space group is C2/m (No. 12) and the conventional cell measures 7.640, 13.190 and 8.547 Å, with angles of 90.00, 107.27 and 90.00 degrees. The asymmetric unit holds Pu at (0.000, 0.166, 0.000), Hf at (0.000, 0.500, 0.000), Tl at (0.000, 0.000, 0.500), Tl at (0.000, 0.328, 0.500), Te at (0.226, 0.344, 0.209) and Te at (0.240, 0.500, 0.785).

The calculation puts the total energy at -6.110 eV/atom. The formation energy (no corrections) comes out at -8.75 eV/f.u. As for the size of the total moment: 0.917 μB per atom.



First-principles (PBE-GGA) data for a relaxed Pu2HfTi crystal, as listed in Alexandria via LeMat-Bulk.

The space group is Fm-3m (No. 225) and the conventional cell measures 7.079, 7.079 and 7.079 Å, with angles of 90.00, 90.00 and 90.00 degrees. The asymmetric unit holds Pu at (0.250, 0.250, 0.250), Hf at (0.000, 0.000, 0.000) and Ti at (0.000, 0.000, 0.500).

The calculation puts the total energy at -11.323 eV/atom. The calculation puts the formation energy at 0.30 eV/atom. Its relative energy among the computed polymorphs is 0.087 eV per atom. As for the size of the total moment: 2.809 μB per atom.



First-principles (PBE-GGA) data for a relaxed PuHfTi2 crystal, as listed in Alexandria via LeMat-Bulk.

The space group is P4/mmm (No. 123) and the conventional cell measures 3.077, 3.077 and 8.467 Å, with angles of 90.00, 90.00 and 90.00 degrees. The asymmetric unit holds Pu at (0.000, 0.000, 0.000), Hf at (0.000, 0.000, 0.500) and Ti at (0.500, 0.500, 0.252).

The calculation puts the total energy at -9.906 eV/atom. The calculation puts the formation energy at 0.11 eV/atom. Its relative energy among the computed polymorphs is 0.000 eV per atom. As for the size of the total moment: 1.322 μB per atom.